Record 1
CaZn7Ni5: relaxed, GGA-PBE.

Calculated values
The value obtained for the energy of formation from the pure elements is -256 meV per atom. The value obtained for the total energy is -43.16 eV per cell. As for the total moment: 0.0 μB/f.u.

a = 5.046 Å, b = 6.533 Å, c = 6.533 Å
α = 81.87°, β = 67.28°, γ = 67.28°
Sites, in units of the cell vectors:
Ca1 0.007 0.993 0.993
Zn1 0.661 0.339 0.339
Zn2 0.342 0.658 0.658
Zn3 0.991 0.354 0.664
Zn4 0.991 0.664 0.354
Zn5 0.271 0.229 0.229
Zn6 0.504 0.783 0.209
Zn7 0.504 0.209 0.783
Ni1 0.498 0.001 0.500
Ni2 0.001 0.001 0.500
Ni3 0.498 0.500 0.001
Ni4 0.001 0.500 0.001
Ni5 0.732 0.768 0.768

Record 2
CaZn2Ni4: relaxed, GGA-PBE.

Calculated values
The value obtained for the energy of formation from the pure elements is 332 meV per atom. The value obtained for the total energy is -25.35 eV per cell. The value obtained for the energy above the most stable polymorph in this dataset is 452 meV/atom. As for the total moment: 0.6 μB/f.u.

a = 5.620 Å, b = 5.620 Å, c = 5.620 Å
α = 103.39°, β = 103.39°, γ = 122.46°
Site moments in Bohr magnetons follow the coordinates.
Sites, in units of the cell vectors:
Ca1 0.000 0.000 0.000  -0.01
Zn1 0.250 0.750 0.500  -0.01
Zn2 0.750 0.250 0.500  -0.01
Ni1 0.726 0.500 0.226  0.17
Ni2 0.500 0.726 0.226  0.17
Ni3 0.500 0.274 0.774  0.17
Ni4 0.274 0.500 0.774  0.17

Record 3
CaZnNi2: relaxed, GGA-PBE.

Calculated values
The value obtained for the energy of formation from the pure elements is 28 meV per atom. The value obtained for the total energy is -14.72 eV per cell. As for the total moment: 0.4 μB/f.u.

a = 3.167 Å, b = 3.167 Å, c = 6.472 Å
α = 90.00°, β = 90.00°, γ = 90.00°
Site moments in Bohr magnetons follow the coordinates.
Sites, in units of the cell vectors:
Ni1 0.000 0.000 0.061  0.19
Ni2 0.500 0.500 0.235  0.22
Zn1 0.000 0.000 0.433  0.00
Ca1 0.500 0.500 0.771  0.00

Number 1: calculated volume 183.3 Å³/f.u.. Number 2: calculated volume 131.3 Å³/f.u.. Number 3: calculated volume 64.9 Å³/f.u..